The following is a PBE calculation of BaInSCl2 after structural relaxation, from Alexandria via LeMat-Bulk.

Cell: 5.964 5.964 6.119 Å, 90.00 90.00 90.00°
Fractional positions:
In1 0.500 0.500 0.500
Ba1 0.000 0.000 0.000
Cl1 0.500 0.000 0.000
Cl2 0.000 0.500 0.000
S1 0.000 0.000 0.500

Values from the calculation:
- Formation energy (no corrections): -1017 meV per atom
- Excess energy over the best structure of this formula in the dataset: 0.318 eV per atom
- Uncorrected energy: -3.51 eV/atom

***

The following is a PBE calculation of Ba3LaCu after structural relaxation, from Alexandria via LeMat-Bulk.

Cell: 6.405 6.405 6.405 Å, 90.00 90.00 90.00°
Fractional positions:
La1 0.000 0.000 0.000
Ba1 0.000 0.500 0.000
Ba2 0.000 0.000 0.500
Ba3 0.500 0.000 0.000
Cu1 0.500 0.500 0.500

Values from the calculation:
- Excess energy over the best structure of this formula in the dataset: 0.616 eV per atom
- Uncorrected energy: -2.10 eV/atom
- Formation energy from the elements: 4.3 eV/f.u.

***

The following is a PBE calculation of LiHg2Mo after structural relaxation, from Alexandria via LeMat-Bulk.

Cell: 2.838 4.769 5.707 Å, 90.00 90.00 90.00°
Fractional positions:
Hg1 0.500 0.500 0.302
Hg2 0.000 0.000 0.935
Mo1 0.500 0.500 0.796
Li1 0.000 0.000 0.468

Values from the calculation:
- Excess energy over the best structure of this formula in the dataset: 0.193 eV per atom
- Uncorrected energy: -2.95 eV/atom
- Formation energy from the elements: 1.5 eV/f.u.

***

The following is a PBE calculation of Ba2PuCdHg6 after structural relaxation, from Alexandria via LeMat-Bulk.

Cell: 8.112 8.112 8.112 Å, 60.00 60.00 90.00°
Fractional positions:
Hg1 0.243 0.243 0.514
Hg2 0.243 0.757 0.000
Hg3 0.243 0.243 0.000
Hg4 0.757 0.243 0.000
Hg5 0.757 0.757 0.486
Hg6 0.757 0.757 0.000
Ba1 0.750 0.250 0.500
Ba2 0.250 0.750 0.500
Cd1 0.000 0.000 0.000
Pu1 0.500 0.500 0.000

Values from the calculation:
- Uncorrected energy: -2.16 eV/atom
- Formation energy from the elements: -0.7 eV/f.u.

***

The following is a PBE calculation of YHfRhN2 after structural relaxation, from Alexandria via LeMat-Bulk.

Cell: 4.052 6.994 4.052 Å, 90.00 90.00 90.00°
Fractional positions:
Rh1 0.500 0.500 0.500
Y1 0.000 0.000 0.000
N1 0.000 0.000 0.500
N2 0.500 0.000 0.000
Hf1 0.000 0.500 0.000

Values from the calculation:
- Formation energy (no corrections): 1469 meV per atom
- Uncorrected energy: -6.61 eV/atom

***

The following is a PBE calculation of Rb2BeCuP2 after structural relaxation, from Alexandria via LeMat-Bulk.

Cell: 5.613 5.563 11.715 Å, 103.73 103.86 90.00°
Fractional positions:
P1 0.678 0.445 0.890
P2 0.788 0.055 0.110
P3 0.322 0.555 0.110
P4 0.212 0.945 0.890
Cu1 0.000 0.750 0.000
Cu2 0.000 0.250 0.000
Be1 0.500 0.250 0.000
Be2 0.500 0.750 0.000
Rb1 0.621 0.864 0.727
Rb2 0.894 0.636 0.273
Rb3 0.379 0.136 0.273
Rb4 0.106 0.364 0.727

Values from the calculation:
- Uncorrected energy: -3.67 eV/atom
- Formation energy from the elements: -1.5 eV/f.u.

***

The following is a PBE calculation of MgUGaRu after structural relaxation, from Alexandria via LeMat-Bulk.

Cell: 4.725 4.725 4.725 Å, 60.00 60.00 60.00°
Fractional positions:
Mg1 0.000 0.000 0.000
Ru1 0.750 0.750 0.750
Ga1 0.250 0.250 0.250
U1 0.500 0.500 0.500

Values from the calculation:
- Uncorrected energy: -6.29 eV/atom
- Formation energy from the elements: 0.0 eV/f.u.

***

The following is a PBE calculation of Tl4RuPt after structural relaxation, from Alexandria via LeMat-Bulk.

Cell: 6.019 6.019 6.019 Å, 60.00 60.00 60.00°
Fractional positions:
Tl1 0.375 0.875 0.375
Tl2 0.375 0.375 0.375
Tl3 0.375 0.375 0.875
Tl4 0.875 0.375 0.375
Ru1 0.000 0.000 0.000
Pt1 0.750 0.750 0.750

Values from the calculation:
- Uncorrected energy: -3.07 eV/atom
- Formation energy from the elements: 6.4 eV/f.u.